LaPm2Sb2 | PBE | optimized geometry

```
10
Lattice="5.3438 -6.1939 0.0000 5.3438 6.1939 0.0000 -3.5298 0.0000 5.1875" Properties=species:S:1:pos:R:3 pbc="T T T"
La 2.6964 4.8441 3.8906
La 4.4613 -4.8441 1.2969
Pm 3.4259 1.2555 0.1583
Pm 1.6610 -1.2555 2.7520
Pm 5.4968 1.2555 2.4354
Pm 3.7319 -1.2555 5.0292
Sb 4.4613 4.1144 1.2969
Sb 2.6964 1.5403 3.8906
Sb 4.4613 -1.5403 1.2969
Sb 2.6964 -4.1144 3.8906
```

Output
* raw formation energy: -0.731 eV/atom